Compound: BeRhCl
Source: the Alexandria database
Functional: PBE
Structure: relaxed

Geometry as POSCAR:
```
BeRhCl
1.0
8.183 -0.036 -0.018
-0.004 3.015 -0.002
-0.742 0.002 4.471
Be Rh Cl
2 2 2
direct
0.250 0.659 0.391
0.262 0.658 0.899
0.418 0.161 0.213
0.495 0.663 0.710
0.692 0.166 0.008
0.054 0.657 0.601
```

- Density of states at the Fermi level: 3.083 states/eV/cell
- Energy above the lowest structure with this stoichiometry: 203 meV per atom
- V: 55.1 Å³/f.u.
- Energy relative to the elements, uncorrected: -360 meV/atom
- Total magnetic moment: 0.00 μB/f.u.
- Final energy: -28.01 eV per cell

---

Compound: BeRhCl
Source: the Alexandria database
Functional: PBE
Structure: relaxed

Geometry as POSCAR:
```
BeRhCl
1.0
8.027 0.000 0.000
0.000 3.649 0.000
0.000 0.000 8.051
Be Rh Cl
4 4 4
direct
0.935 0.250 0.506
0.565 0.750 0.006
0.065 0.750 0.494
0.435 0.250 0.994
0.195 0.250 0.425
0.305 0.750 0.925
0.805 0.750 0.575
0.695 0.250 0.075
0.804 0.250 0.807
0.696 0.750 0.307
0.196 0.750 0.193
0.304 0.250 0.693
```

- Density of states at the Fermi level: 0.983 states/eV/cell
- Energy above the lowest structure with this stoichiometry: 495 meV per atom
- V: 59.0 Å³/f.u.
- Energy relative to the elements, uncorrected: -68 meV/atom
- Total magnetic moment: 0.00 μB/f.u.
- Final energy: -52.51 eV per cell

---

Compound: BeRh4Cl
Source: the Alexandria database
Functional: PBE
Structure: relaxed

Geometry as POSCAR:
```
BeRh4Cl
1.0
2.461 -3.567 2.793
-1.589 -1.075 4.786
-2.281 -4.513 1.006
Be Rh Cl
1 4 1
direct
0.750 0.750 0.750
0.875 0.375 0.375
0.375 0.375 0.875
0.375 0.875 0.375
0.375 0.375 0.375
0.000 0.000 0.000
```

- Density of states at the Fermi level: 11.254 states/eV/cell
- V: 96.9 Å³/f.u.
- Energy relative to the elements, uncorrected: 832 meV/atom
- Total magnetic moment: 2.46 μB/f.u.
- Final energy: -29.99 eV per cell

---

Compound: BeRhCl
Source: the Alexandria database
Functional: PBE
Structure: relaxed

Geometry as POSCAR:
```
BeRhCl
1.0
-2.550 9.683 -1.635
-1.247 0.549 2.601
2.961 0.991 1.210
Be Rh Cl
2 2 2
direct
0.172 0.563 0.498
0.323 0.485 0.996
0.366 0.964 0.496
0.552 0.374 0.995
0.709 0.297 0.494
0.049 0.624 0.998
```

- Density of states at the Fermi level: 4.210 states/eV/cell
- Energy above the lowest structure with this stoichiometry: 206 meV per atom
- V: 49.4 Å³/f.u.
- Energy relative to the elements, uncorrected: -358 meV/atom
- Total magnetic moment: 0.00 μB/f.u.
- Final energy: -27.99 eV per cell

---

Compound: BeRhCl4
Source: the Alexandria database
Functional: PBE
Structure: relaxed

Geometry as POSCAR:
```
BeRhCl4
1.0
-0.614 -2.534 5.070
-4.393 -3.518 0.915
0.897 -5.607 0.512
Be Rh Cl
1 1 4
direct
0.000 0.000 0.000
0.750 0.750 0.750
0.876 0.375 0.375
0.375 0.375 0.876
0.375 0.876 0.375
0.375 0.375 0.375
```

- Density of states at the Fermi level: 6.530 states/eV/cell
- V: 131.1 Å³/f.u.
- Energy relative to the elements, uncorrected: 1277 meV/atom
- Total magnetic moment: 0.13 μB/f.u.
- Final energy: -10.80 eV per cell

---

Compound: Be2RhCl
Source: the Alexandria database
Functional: PBE
Structure: relaxed

Geometry as POSCAR:
```
Be2RhCl
1.0
6.881 0.006 0.004
6.245 2.890 0.004
6.245 1.378 2.540
Be Rh Cl
2 1 1
direct
0.004 0.004 0.004
0.496 0.496 0.496
0.750 0.750 0.750
0.250 0.250 0.250
```

- Density of states at the Fermi level: 1.701 states/eV/cell
- Energy above the lowest structure with this stoichiometry: 372 meV per atom
- V: 50.4 Å³/f.u.
- Energy relative to the elements, uncorrected: -103 meV/atom
- Total magnetic moment: 0.00 μB/f.u.
- Final energy: -17.06 eV per cell

---

Compound: BeRh2Cl
Source: the Alexandria database
Functional: PBE
Structure: relaxed

Geometry as POSCAR:
```
BeRh2Cl
1.0
2.856 0.005 0.000
-1.449 2.461 0.000
0.000 0.000 8.389
Be Rh Cl
1 2 1
direct
0.000 0.000 0.508
0.000 0.000 0.024
0.500 0.500 0.289
0.500 0.500 0.679
```

- Density of states at the Fermi level: 4.244 states/eV/cell
- Energy above the lowest structure with this stoichiometry: 416 meV per atom
- V: 59.0 Å³/f.u.
- Energy relative to the elements, uncorrected: 126 meV/atom
- Total magnetic moment: 0.00 μB/f.u.
- Final energy: -19.77 eV per cell

---

Compound: BeRhCl
Source: the Alexandria database
Functional: PBE
Structure: relaxed

Geometry as POSCAR:
```
BeRhCl
1.0
-3.794 0.468 -2.158
1.762 -3.989 0.501
-2.501 -0.568 4.274
Be Rh Cl
2 2 2
direct
0.000 0.000 0.000
0.000 0.000 0.500
0.333 0.667 0.750
0.667 0.333 0.250
0.333 0.667 0.250
0.667 0.333 0.750
```

- Density of states at the Fermi level: 2.666 states/eV/cell
- Energy above the lowest structure with this stoichiometry: 1132 meV per atom
- V: 41.6 Å³/f.u.
- Energy relative to the elements, uncorrected: 569 meV/atom
- Total magnetic moment: 0.00 μB/f.u.
- Final energy: -22.44 eV per cell

---

Compound: BeRh2Cl
Source: the Alexandria database
Functional: PBE
Structure: relaxed

Geometry as POSCAR:
```
BeRh2Cl
1.0
-2.016 2.178 -1.611
-0.624 -2.030 -1.965
-4.974 -2.830 2.398
Be Rh Cl
1 2 1
direct
0.000 0.613 0.402
0.000 0.798 0.027
0.500 0.150 0.324
0.500 0.939 0.748
```

- Density of states at the Fermi level: 4.740 states/eV/cell
- Energy above the lowest structure with this stoichiometry: 367 meV per atom
- V: 59.0 Å³/f.u.
- Energy relative to the elements, uncorrected: 78 meV/atom
- Total magnetic moment: 0.00 μB/f.u.
- Final energy: -19.96 eV per cell

---

Compound: BeRhS2Cl
Source: the Alexandria database
Functional: PBE
Structure: relaxed

Geometry as POSCAR:
```
BeRhS2Cl
1.0
-3.287 -2.351 -1.702
1.109 -3.394 2.546
-2.540 1.400 2.972
Be S Rh Cl
1 2 1 1
direct
0.000 0.000 0.000
0.000 0.500 0.000
0.500 0.000 0.000
0.500 0.500 0.500
0.000 0.000 0.500
```

- Density of states at the Fermi level: 5.965 states/eV/cell
- Energy above the lowest structure with this stoichiometry: 0 meV per atom
- V: 79.9 Å³/f.u.
- Energy relative to the elements, uncorrected: 434 meV/atom
- Total magnetic moment: 0.59 μB/f.u.
- Final energy: -19.01 eV per cell

---

Compound: BeRhS2Cl
Source: the Alexandria database
Functional: PBE
Structure: relaxed

Geometry as POSCAR:
```
BeRhS2Cl
1.0
4.630 0.000 0.000
0.000 4.630 0.000
0.000 0.000 4.750
Be S Rh Cl
1 2 1 1
direct
0.500 0.500 0.500
0.000 0.500 0.000
0.500 0.000 0.000
0.000 0.000 0.000
0.000 0.000 0.500
```

- Density of states at the Fermi level: 4.325 states/eV/cell
- Energy above the lowest structure with this stoichiometry: 192 meV per atom
- V: 101.8 Å³/f.u.
- Energy relative to the elements, uncorrected: 626 meV/atom
- Total magnetic moment: 0.00 μB/f.u.
- Final energy: -18.05 eV per cell

---

Compound: Y2BeRhCl
Source: the Alexandria database
Functional: PBE
Structure: relaxed

Geometry as POSCAR:
```
Y2BeRhCl
1.0
5.381 0.000 0.000
0.000 4.223 0.000
0.000 0.000 5.381
Y Be Rh Cl
2 1 1 1
direct
0.000 0.000 0.500
0.500 0.000 0.000
0.000 0.500 0.000
0.000 0.000 0.000
0.500 0.500 0.500
```

- Density of states at the Fermi level: 5.666 states/eV/cell
- V: 122.3 Å³/f.u.
- Energy relative to the elements, uncorrected: -467 meV/atom
- Total magnetic moment: 0.00 μB/f.u.
- Final energy: -28.19 eV per cell

---

Compound: BeRu2Cl
Source: the Alexandria database
Functional: PBE
Structure: relaxed

Geometry as POSCAR:
```
BeRu2Cl
1.0
2.841 0.000 0.000
0.000 2.841 0.000
0.000 0.000 7.836
Ru Be Cl
2 1 1
direct
0.000 0.000 0.032
0.500 0.500 0.248
0.000 0.000 0.410
0.500 0.500 0.811
```

- Density of states at the Fermi level: 2.000 states/eV/cell
- Energy above the lowest structure with this stoichiometry: 81 meV per atom
- V: 63.2 Å³/f.u.
- Energy relative to the elements, uncorrected: 200 meV/atom
- Total magnetic moment: 0.00 μB/f.u.
- Final energy: -23.33 eV per cell

---

Compound: BeRu2Cl
Source: the Alexandria database
Functional: PBE
Structure: relaxed

Geometry as POSCAR:
```
BeRu2Cl
1.0
5.620 0.995 -0.291
2.998 4.856 0.291
-3.770 -3.720 2.147
Ru Be Cl
2 1 1
direct
0.945 0.945 0.000
0.555 0.555 0.000
0.750 0.250 0.500
0.250 0.750 0.500
```

- Density of states at the Fermi level: 2.316 states/eV/cell
- Energy above the lowest structure with this stoichiometry: 304 meV per atom
- V: 55.1 Å³/f.u.
- Energy relative to the elements, uncorrected: 423 meV/atom
- Total magnetic moment: 0.00 μB/f.u.
- Final energy: -22.43 eV per cell

---

Compound: BeRu2Cl
Source: the Alexandria database
Functional: PBE
Structure: relaxed

Geometry as POSCAR:
```
BeRu2Cl
1.0
-1.774 1.921 3.223
-3.955 -0.798 0.971
-0.902 -2.131 3.445
Ru Be Cl
2 1 1
direct
0.250 0.250 0.250
0.750 0.750 0.750
0.000 0.000 0.000
0.500 0.500 0.500
```

- Density of states at the Fermi level: 3.777 states/eV/cell
- Energy above the lowest structure with this stoichiometry: 586 meV per atom
- V: 50.5 Å³/f.u.
- Energy relative to the elements, uncorrected: 704 meV/atom
- Total magnetic moment: 0.00 μB/f.u.
- Final energy: -21.31 eV per cell

---

Compound: BeRuCl
Source: the Alexandria database
Functional: PBE
Structure: relaxed

Geometry as POSCAR:
```
BeRuCl
1.0
-2.733 2.563 -1.230
-2.250 -0.863 -3.121
-3.827 -0.811 0.492
Ru Be Cl
1 1 1
direct
0.500 0.500 0.500
0.750 0.750 0.750
0.000 0.000 0.000
```

- Density of states at the Fermi level: 2.429 states/eV/cell
- Energy above the lowest structure with this stoichiometry: 800 meV per atom
- V: 43.4 Å³/f.u.
- Energy relative to the elements, uncorrected: 964 meV/atom
- Total magnetic moment: 0.69 μB/f.u.
- Final energy: -11.96 eV per cell

---

Compound: BeRu3Cl
Source: the Alexandria database
Functional: PBE
Structure: relaxed

Geometry as POSCAR:
```
BeRu3Cl
1.0
4.231 0.000 0.000
0.000 4.231 0.000
0.000 0.000 4.231
Ru Be Cl
3 1 1
direct
0.000 0.500 0.000
0.000 0.000 0.500
0.500 0.000 0.000
0.000 0.000 0.000
0.500 0.500 0.500
```

- Density of states at the Fermi level: 5.441 states/eV/cell
- Energy above the lowest structure with this stoichiometry: 0 meV per atom
- V: 75.8 Å³/f.u.
- Energy relative to the elements, uncorrected: 1175 meV/atom
- Total magnetic moment: 2.91 μB/f.u.
- Final energy: -27.53 eV per cell

---

Compound: BeRuCl
Source: the Alexandria database
Functional: PBE
Structure: relaxed

Geometry as POSCAR:
```
BeRuCl
1.0
-1.283 2.518 2.921
1.951 -3.427 0.983
2.495 1.391 -0.103
Ru Be Cl
1 1 1
direct
0.333 0.667 0.500
0.000 0.000 0.000
0.667 0.333 0.500
```

- Density of states at the Fermi level: 2.775 states/eV/cell
- Energy above the lowest structure with this stoichiometry: 539 meV per atom
- V: 40.9 Å³/f.u.
- Energy relative to the elements, uncorrected: 703 meV/atom
- Total magnetic moment: 0.00 μB/f.u.
- Final energy: -12.74 eV per cell

---

Compound: BeRu2Cl
Source: the Alexandria database
Functional: PBE
Structure: relaxed

Geometry as POSCAR:
```
BeRu2Cl
1.0
-2.168 -4.101 -6.688
0.238 -5.484 -6.010
-2.228 -6.212 -4.764
Ru Be Cl
2 1 1
direct
0.991 0.991 0.991
0.243 0.243 0.243
0.495 0.495 0.495
0.771 0.771 0.771
```

- Density of states at the Fermi level: 4.544 states/eV/cell
- Energy above the lowest structure with this stoichiometry: 42 meV per atom
- V: 56.3 Å³/f.u.
- Energy relative to the elements, uncorrected: 160 meV/atom
- Total magnetic moment: 0.00 μB/f.u.
- Final energy: -23.48 eV per cell

---

Compound: BeRu2Cl
Source: the Alexandria database
Functional: PBE
Structure: relaxed

Geometry as POSCAR:
```
BeRu2Cl
1.0
-2.022 1.897 0.166
-3.247 -3.495 0.391
0.409 0.078 4.094
Ru Be Cl
2 1 1
direct
0.000 0.000 0.000
0.500 0.500 0.000
0.500 0.000 0.500
0.000 0.500 0.500
```

- Density of states at the Fermi level: 4.661 states/eV/cell
- Energy above the lowest structure with this stoichiometry: 519 meV per atom
- V: 54.7 Å³/f.u.
- Energy relative to the elements, uncorrected: 638 meV/atom
- Total magnetic moment: 0.29 μB/f.u.
- Final energy: -21.57 eV per cell